Entry from the Alexandria database: an optimized crystal structure of Na2BeCrO4 (PBE with a Hubbard U).

Cell lengths 4.6154, 10.7185, 18.0411 Å; angles 90.00, 90.00, 90.00 degrees
Space group Fddd (No. 70, origin choice 2)
Symmetry-distinct sites (fractional):
Na1 0.1250 0.1250 0.3077 [16 per cell]
Be1 0.1250 0.1250 0.6250 [8 per cell]
Cr1 0.1250 0.1250 0.1250 [8 per cell]
O1 0.1071 0.2835 0.8283 [32 per cell]

Properties
ρ = 2.55 g/cm3
size of the total moment = 16.00 μB per cell
E = -5.8705 eV per atom